Record 1
Density functional theory data (meta-GGA SCAN) for a PBEsol-optimized structure of Ho2Zn17.

As for the density of states at the Fermi level: 4.2 states/eV/cell. The calculation puts the formation energy at -0.294 eV per atom.

```
19
Lattice="-2.7636 -2.6175 -5.4396 -2.7222 -5.3039 2.9216 -6.0733 2.5444 0.8476" Properties=species:S:1:pos:R:3 pbc="T T T"
Ho -7.6810 -3.5730 -1.1099
Ho -3.8782 -1.8040 -0.5604
Zn -5.3959 -4.4754 0.8338
Zn -7.0271 -0.6552 -0.1757
Zn -1.1558 -0.5377 -0.1670
Zn -10.4033 -4.8394 -1.5033
Zn -1.3611 -2.6520 1.4608
Zn -1.3818 -1.3088 -2.7198
Zn -3.0367 1.2722 0.4238
Zn -3.7485 -1.0814 -3.5686
Zn -5.0761 0.2089 1.4648
Zn -2.7345 -4.5045 0.4335
Zn -5.0884 1.0083 -1.0234
Zn -3.7194 -2.9684 2.3044
Zn -2.7513 -3.4169 -2.9514
Zn -4.5320 -4.7218 -1.4947
Zn -6.1632 -0.9017 -2.5042
Zn -6.1431 -2.2093 1.5656
Zn -5.4161 -3.1678 -3.2360
```


Record 2
Density functional theory data (meta-GGA SCAN) for a PBEsol-optimized structure of Na2Al2Rh.

As for the density of states at the Fermi level: 3.8 states/eV/cell. The calculation puts the formation energy at -0.126 eV per atom.

```
10
Lattice="-0.2488 0.4605 -5.2445 -4.7739 -4.1911 -0.1415 -4.1828 4.7436 0.6149" Properties=species:S:1:pos:R:3 pbc="T T T"
Na -3.8317 2.7017 -2.2294
Na -6.8007 1.2663 -2.2146
Na -5.3737 -1.6888 -2.5418
Na -2.4047 -0.2533 -2.5565
Rh 0.0000 0.0000 0.0000
Rh -4.4783 0.2762 0.2367
Al -5.1301 2.5592 0.4680
Al -6.7703 -0.3832 0.2875
Al -3.8266 -2.0068 0.0053
Al -2.1864 0.9357 0.1859
```


Record 3
Density functional theory data (meta-GGA SCAN) for a PBEsol-optimized structure of SbTeW2.

As for the density of states at the Fermi level: 2.5 states/eV/cell. The value obtained for the raw formation energy is 0.389 eV per atom.

```
4
Lattice="-0.5710 -2.7958 -1.4574 2.4917 0.5074 -1.9495 4.8183 -3.6933 5.1971" Properties=species:S:1:pos:R:3 pbc="T T T"
Sb 2.1359 -1.6372 2.3039
Te 4.8756 -4.1453 2.5196
W 0.1380 -0.1058 0.1488
W 1.9986 -1.9401 -0.5836
```


Record 4
Density functional theory data (meta-GGA SCAN) for a PBEsol-optimized structure of CuNi2.

As for the density of states at the Fermi level: 5.5 states/eV/cell. The calculation puts the formation energy at 0.069 eV per atom.

```
6
Lattice="-0.6338 0.1183 -2.3660 2.6418 -3.9211 0.3671 -5.4795 -1.6864 1.3835" Properties=species:S:1:pos:R:3 pbc="T T T"
Cu -5.4735 -1.6874 1.3818
Cu -1.3700 -1.7832 -0.9930
Ni -2.0988 -3.6908 0.3776
Ni 0.2673 -3.4722 -0.2452
Ni -3.1064 -1.4539 0.7594
Ni -4.4326 -3.2698 -0.2470
```


Record 5
Density functional theory data (meta-GGA SCAN) for a PBEsol-optimized structure of SrTlHg2.

As for the density of states at the Fermi level: 2.0 states/eV/cell. The calculation puts the formation energy at -0.398 eV per atom.

```
4
Lattice="3.7915 0.0000 -0.1103 0.0000 4.7167 0.0000 -1.7664 0.0000 6.2826" Properties=species:S:1:pos:R:3 pbc="T T T"
Sr 1.2687 0.0000 2.8280
Tl -0.6120 2.3583 4.9905
Hg 1.2671 0.0000 6.1135
Hg 3.1388 2.3583 1.4987
```


Record 6
Density functional theory data (meta-GGA SCAN) for a PBEsol-optimized structure of Cr2InRe.

As for the density of states at the Fermi level: 3.5 states/eV/cell. The calculation puts the formation energy at 0.401 eV per atom.

```
4
Lattice="-2.1934 -0.8615 1.4352 -1.7190 -1.0756 -3.2728 2.8228 -4.7452 0.0770" Properties=species:S:1:pos:R:3 pbc="T T T"
Cr -0.0549 -0.0427 0.0429
Cr -1.1605 -1.8540 -1.0457
In -0.7790 -3.1795 1.4541
Re 0.1229 -4.8402 -0.7383
```


Record 7
Density functional theory data (meta-GGA SCAN) for a PBEsol-optimized structure of Li6VSb3P6O24.

The value obtained for the raw formation energy is -2.342 eV per atom.

```
40
Lattice="-5.8388 6.5921 -0.3121 -7.4855 -0.3028 4.7128 -1.3999 5.3228 6.9118" Properties=species:S:1:pos:R:3 pbc="T T T"
Sb -2.4089 1.8374 1.8579
Sb -5.1804 4.2784 3.8978
Sb -9.5700 7.8869 7.5011
V -12.4740 9.7586 9.4802
O -5.1719 1.6444 2.9335
O -4.6308 5.5080 2.1329
O -7.4539 6.2378 1.5032
O -8.7545 9.7975 6.3080
O -7.0445 5.4321 3.8833
O -9.3617 5.3849 2.8918
O -8.1081 2.8702 6.6946
O -5.8486 3.7756 5.9647
O -4.5061 5.7725 5.1553
O -3.5508 3.4909 1.0609
O -11.4896 5.2925 4.4421
O -2.8264 3.6200 4.1043
O -11.8620 9.0847 7.7691
O -2.9639 6.7123 6.8718
O -11.7924 7.9581 10.1471
O -9.6587 5.2896 6.2471
O -8.8517 7.8357 4.7642
O -6.7025 9.1198 4.9708
O -5.4283 6.1096 7.7718
O -7.6423 7.0063 7.4702
O -12.1195 7.8661 5.5710
O -7.3941 4.8119 8.7872
O -9.8568 6.5756 9.1398
O -8.9125 9.1027 9.0247
P -7.8729 5.2199 2.5778
P -6.5922 2.5759 6.6019
P -3.5278 6.9581 5.4347
P -11.0273 4.7496 5.8322
P -8.2628 9.2514 4.9432
P -6.7861 6.2080 8.5559
Li -5.7162 6.5575 0.6180
Li -4.3201 4.6663 6.9106
Li -8.2230 6.0765 5.2808
Li -10.7441 7.3235 4.2731
Li -8.9511 4.3296 7.8189
Li -5.9965 7.9534 6.4879
```


Record 8
Density functional theory data (meta-GGA SCAN) for a PBEsol-optimized structure of Ba2SrCu2.

As for the density of states at the Fermi level: 5.4 states/eV/cell. The calculation puts the formation energy at 0.052 eV per atom.

```
10
Lattice="-0.7210 -0.6966 -4.5884 -0.8108 -8.2342 1.3776 -8.2488 1.0036 1.1439" Properties=species:S:1:pos:R:3 pbc="T T T"
Sr 0.0000 0.0000 0.0000
Sr -4.5298 -3.6153 1.2607
Ba -6.0189 -1.0708 -1.2953
Ba -7.7553 -5.0260 -0.4220
Ba -3.7618 -6.8564 -0.7716
Ba -2.0253 -2.9013 -1.6450
Cu -7.6981 -2.3504 1.5665
Cu -5.7202 -6.7575 1.9248
Cu -1.3615 -4.8802 0.9549
Cu -3.3394 -0.4731 0.5966
```


Record 9
Density functional theory data (meta-GGA SCAN) for a PBEsol-optimized structure of Ag3MoBr.

As for the density of states at the Fermi level: 2.2 states/eV/cell. The value obtained for the raw formation energy is 1.443 eV per atom.

```
5
Lattice="-3.2434 -3.6882 -0.9161 3.7609 -3.2880 -0.0783 -0.5451 -0.7404 4.9108" Properties=species:S:1:pos:R:3 pbc="T T T"
Mo -0.0138 -3.8583 1.9582
Br 0.0000 0.0000 0.0000
Ag 1.8805 -1.6440 -0.0392
Ag -0.2725 -0.3702 2.4554
Ag -1.6217 -1.8441 -0.4580
```


Record 10
Density functional theory data (meta-GGA SCAN) for a PBEsol-optimized structure of YCI2.

The value obtained for the raw formation energy is 0.605 eV per atom.

```
4
Lattice="-3.8450 3.2298 1.3938 -3.5296 1.5212 -3.5194 -4.8983 -1.7545 0.2957" Properties=species:S:1:pos:R:3 pbc="T T T"
I -3.0682 0.7491 -0.4575
I -9.2047 2.2474 -1.3724
Y -6.1364 1.4983 -0.9150
C 0.0000 0.0000 0.0000
```


Record 11
Density functional theory data (meta-GGA SCAN) for a PBEsol-optimized structure of Ag3BiN.

The value obtained for the raw formation energy is 1.371 eV per atom.

```
5
Lattice="5.3436 0.0000 0.0000 0.0000 5.3436 0.0000 0.0000 0.0000 5.3436" Properties=species:S:1:pos:R:3 pbc="T T T"
Bi 0.0000 0.0000 0.0000
Ag 0.0000 2.6718 0.0000
Ag 0.0000 0.0000 2.6718
Ag 2.6718 0.0000 0.0000
N 2.6718 2.6718 2.6718
```


Record 12
Density functional theory data (meta-GGA SCAN) for a PBEsol-optimized structure of BeTc2Te.

As for the density of states at the Fermi level: 3.7 states/eV/cell. The value obtained for the raw formation energy is 0.292 eV per atom.

```
4
Lattice="3.2003 0.0000 0.0000 0.0000 4.5855 0.0000 -1.6001 -2.2928 3.8675" Properties=species:S:1:pos:R:3 pbc="T T T"
Be 1.6001 0.0000 0.0000
Te 0.0000 2.2928 0.0000
Tc 1.6001 2.2928 2.2686
Tc 0.0000 0.0000 1.5989
```


Record 13
Density functional theory data (meta-GGA SCAN) for a PBEsol-optimized structure of La2CoCu.

As for the density of states at the Fermi level: 3.7 states/eV/cell. The calculation puts the formation energy at -0.037 eV per atom.

```
4
Lattice="-0.4857 -3.6162 -1.2791 4.3440 -0.4690 -0.3235 0.4182 0.0503 5.5426" Properties=species:S:1:pos:R:3 pbc="T T T"
Co -0.1746 -2.4920 1.2680
Cu 1.9498 -2.2500 -0.2228
La -0.0716 -3.5242 4.1472
La 2.2646 -1.1630 2.4281
```


Record 14
Density functional theory data (meta-GGA SCAN) for a PBEsol-optimized structure of SrZrCl2.

As for the density of states at the Fermi level: 2.7 states/eV/cell. The value obtained for the raw formation energy is -1.115 eV per atom.

```
4
Lattice="3.4398 0.0000 -0.0551 0.0000 5.0097 0.0000 -1.6369 0.0000 5.1609" Properties=species:S:1:pos:R:3 pbc="T T T"
Sr 0.6839 0.0000 2.3629
Zr -1.0045 2.5048 4.3817
Cl -0.9995 0.0000 4.6776
Cl 2.3876 2.5048 1.3974
```


Record 15
Density functional theory data (meta-GGA SCAN) for a PBEsol-optimized structure of ReSb2TeAs.

As for the density of states at the Fermi level: 3.1 states/eV/cell. The value obtained for the raw formation energy is 0.843 eV per atom.

```
5
Lattice="5.0720 0.0000 0.0000 0.0000 5.1041 0.0000 0.0000 0.0000 5.1041" Properties=species:S:1:pos:R:3 pbc="T T T"
Re 0.0000 0.0000 0.0000
As 2.5360 2.5520 2.5520
Te 2.5360 0.0000 0.0000
Sb 0.0000 0.0000 2.5520
Sb 0.0000 2.5520 0.0000
```


Record 16
Density functional theory data (meta-GGA SCAN) for a PBEsol-optimized structure of Tl2HgAu.

As for the density of states at the Fermi level: 1.3 states/eV/cell. The calculation puts the formation energy at 0.031 eV per atom.

```
4
Lattice="-2.6015 2.5100 3.1273 -0.0425 -5.3423 0.5996 2.6215 -1.7563 3.5904" Properties=species:S:1:pos:R:3 pbc="T T T"
Tl -0.0162 -2.4827 1.9792
Tl -0.0062 -2.1058 5.3380
Au 0.0100 0.3769 3.3588
Hg 0.0000 0.0000 0.0000
```


Record 17
Density functional theory data (meta-GGA SCAN) for a PBEsol-optimized structure of InCoAg2.

As for the density of states at the Fermi level: 1.4 states/eV/cell. The calculation puts the formation energy at 0.204 eV per atom.

```
4
Lattice="-2.3136 -1.6196 -1.0505 1.1829 -2.4852 1.2264 -3.6385 1.2622 6.0671" Properties=species:S:1:pos:R:3 pbc="T T T"
Co -0.5654 -2.0524 0.0879
Ag -2.8445 0.9867 4.7431
Ag -0.7941 0.2755 1.3241
In -2.3846 -1.4213 3.1215
```


Record 18
Density functional theory data (meta-GGA SCAN) for a PBEsol-optimized structure of MgTlPb2.

As for the density of states at the Fermi level: 1.6 states/eV/cell. The calculation puts the formation energy at -0.044 eV per atom.

```
4
Lattice="-2.6979 -0.1168 -2.1590 -0.6775 -2.8947 -1.7651 -7.3059 -4.3781 6.5979" Properties=species:S:1:pos:R:3 pbc="T T T"
Pb -3.4825 -3.0700 -3.7871
Pb -7.9755 -5.5229 1.9600
Tl -5.2452 -3.6427 1.2148
Mg -2.6940 -1.8604 0.6988
```


Record 19
Density functional theory data (meta-GGA SCAN) for a PBEsol-optimized structure of Ni3Mo.

As for the density of states at the Fermi level: 4.4 states/eV/cell. The calculation puts the formation energy at 0.076 eV per atom.

```
4
Lattice="-0.6574 -1.0647 2.2195 2.5973 -3.4148 -0.8689 3.0384 3.0429 0.8971" Properties=species:S:1:pos:R:3 pbc="T T T"
Ni 1.7121 -0.1255 1.9094
Ni 0.9700 -2.2398 0.6753
Ni 3.2662 -1.3111 0.3384
Mo 0.0000 0.0000 0.0000
```


Record 20
Density functional theory data (meta-GGA SCAN) for a PBEsol-optimized structure of Y2MnAgN.

As for the density of states at the Fermi level: 2.7 states/eV/cell. The value obtained for the raw formation energy is -0.808 eV per atom.

```
5
Lattice="-1.9996 -2.7301 1.2585 1.1383 -2.6503 -3.9405 3.9034 -1.7856 2.3286" Properties=species:S:1:pos:R:3 pbc="T T T"
Y 1.9517 -0.8928 1.1643
Y 0.5692 -1.3251 -1.9703
Mn -0.9998 -1.3650 0.6293
Ag 1.5210 -3.5830 -0.1767
N 0.0000 0.0000 0.0000
```


In order of appearance, total DFT energy (no corrections) = -333.31; -116.67; -212.33; -94.68; -232.56; -139.65; -449.23; -263.03; -141.23; -109.00; -175.12; -110.56; -118.86; -73.39; -198.84; -281.92; -112.61; -229.07; -83.10; -118.64 eV/cell.